i:
Compound: ScAsSN2
Source: Alexandria via LeMat-Bulk
Functional: PBE-GGA
Structure: optimized geometry

CIF file:
```
data_ScAsSN2
_space_group_name_H-M_alt 'P 4/m m m'
_space_group_IT_number 123
_space_group_name_Hall '-P 4 2'
_cell_length_a 3.789
_cell_length_b 3.789
_cell_length_c 4.800
_cell_angle_alpha 90.00
_cell_angle_beta 90.00
_cell_angle_gamma 90.00
loop_
_atom_site_label
_atom_site_type_symbol
_atom_site_fract_x
_atom_site_fract_y
_atom_site_fract_z
Sc1 Sc 0.000 0.000 0.000
As1 As 0.500 0.500 0.500
S1 S 0.500 0.500 0.000
N1 N 0.000 0.500 0.500
```

## Properties
Calculated density (g/cm³): 4.34
Total magnetic moment (μB/f.u.): 0.00
DOS at the Fermi energy (states/eV per atom): 0.207

---

ii:
Compound: ScAsSN2
Source: Alexandria via LeMat-Bulk
Functional: PBE-GGA
Structure: optimized geometry

CIF file:
```
data_ScAsSN2
_space_group_name_H-M_alt 'P 4/m m m'
_space_group_IT_number 123
_space_group_name_Hall '-P 4 2'
_cell_length_a 4.117
_cell_length_b 4.117
_cell_length_c 5.127
_cell_angle_alpha 90.00
_cell_angle_beta 90.00
_cell_angle_gamma 90.00
loop_
_atom_site_label
_atom_site_type_symbol
_atom_site_fract_x
_atom_site_fract_y
_atom_site_fract_z
Sc1 Sc 0.000 0.000 0.000
As1 As 0.500 0.500 0.500
S1 S 0.000 0.000 0.500
N1 N 0.000 0.500 0.000
```

## Properties
Calculated density (g/cm³): 3.44
Total magnetic moment (μB/f.u.): 1.49
DOS at the Fermi energy (states/eV per atom): 0.634

---

Most stable pick: i. Distance to second place: 0.441 eV/atom.

---

i:
Compound: SiAsSN2
Source: Alexandria via LeMat-Bulk
Functional: PBE-GGA
Structure: optimized geometry

CIF file:
```
data_SiAsSN2
_space_group_name_H-M_alt 'P 4/m m m'
_space_group_IT_number 123
_space_group_name_Hall '-P 4 2'
_cell_length_a 3.574
_cell_length_b 3.574
_cell_length_c 4.860
_cell_angle_alpha 90.00
_cell_angle_beta 90.00
_cell_angle_gamma 90.00
loop_
_atom_site_label
_atom_site_type_symbol
_atom_site_fract_x
_atom_site_fract_y
_atom_site_fract_z
Si1 Si 0.000 0.000 0.000
As1 As 0.500 0.500 0.500
S1 S 0.000 0.000 0.500
N1 N 0.000 0.500 0.000
```

## Properties
Calculated density (g/cm³): 4.36
Total magnetic moment (μB/f.u.): 0.00
DOS at the Fermi energy (states/eV per atom): 0.558

---

ii:
Compound: SiAsSN2
Source: Alexandria via LeMat-Bulk
Functional: PBE-GGA
Structure: optimized geometry

CIF file:
```
data_SiAsSN2
_space_group_name_H-M_alt 'P 4/m m m'
_space_group_IT_number 123
_space_group_name_Hall '-P 4 2'
_cell_length_a 3.704
_cell_length_b 3.704
_cell_length_c 5.026
_cell_angle_alpha 90.00
_cell_angle_beta 90.00
_cell_angle_gamma 90.00
loop_
_atom_site_label
_atom_site_type_symbol
_atom_site_fract_x
_atom_site_fract_y
_atom_site_fract_z
Si1 Si 0.000 0.000 0.000
As1 As 0.500 0.500 0.500
S1 S 0.500 0.500 0.000
N1 N 0.000 0.500 0.500
```

## Properties
Calculated density (g/cm³): 3.93
Total magnetic moment (μB/f.u.): 0.59
DOS at the Fermi energy (states/eV per atom): 0.237

---

Most stable pick: i. Distance to second place: 0.611 eV/atom.